## Ac2TiBeS6 (PBE-GGA)

Data for crystalline Ac2TiBeS6 at its relaxed geometry.

Results
total energy: -5.9862 eV per atom
raw formation energy: -1.53 eV/atom

Cell: 6.5653 6.5653 32.6623 Å, 90.00 90.00 120.00°
With the nearest neighbours (Å) after each atom.
Space group R-3m (No. 166, hexagonal axes)
Inequivalent atoms, fractional coordinates:
Ac1 0.0000 0.0000 0.1220  12 S 3.24-3.31
Ac2 0.0000 0.0000 0.2959  12 S 3.20-3.47
Ti1 0.0000 0.0000 0.4187  6 S 2.37-2.43, 1 Be 2.65
Be1 0.0000 0.0000 0.0000  6 S 2.28
Be2 0.0000 0.0000 0.5000  6 S 2.33
S1 0.0071 0.5035 0.7072  1 Be 2.28, 1 Ti 2.43
S2 0.0078 0.5039 0.8727  1 Be 2.33, 1 Ti 2.37

=====

## AcBeSb (PBE-GGA)

Data for crystalline AcBeSb at its relaxed geometry.

Results
relative energy among the computed polymorphs: 42.0 meV/atom
total energy: -4.5010 eV per atom
raw formation energy: -0.52 eV/atom
D(E_F): 0.3509 states/eV/atom

Cell: 6.5977 6.4980 7.8268 Å, 90.00 106.86 90.00°
With the nearest neighbours (Å) after each atom.
Space group P2_1/c (No. 14)
Inequivalent atoms, fractional coordinates:
Ac1 0.2458 0.1565 0.3771  4 Be 3.19-3.33, 5 Sb 3.40-3.53
Be1 0.1154 0.6140 0.4998  1 Be 2.13
Sb1 0.2923 0.6539 0.2564  2 Be 2.51-2.52

=====

## AcBeSb (PBE-GGA)

Data for crystalline AcBeSb at its relaxed geometry.

Results
relative energy among the computed polymorphs: 524.9 meV/atom
total energy: -4.0181 eV per atom
raw formation energy: -0.03 eV/atom
D(E_F): 0.7676 states/eV/atom

Cell: 3.6895 3.6895 11.3984 Å, 90.00 90.00 90.00°
With the nearest neighbours (Å) after each atom.
Space group I4mm (No. 107)
Inequivalent atoms, fractional coordinates:
Ac1 0.0000 0.0000 0.0000  5 Sb 3.27-3.57, 5 Be 3.44-3.45
Be1 0.0000 0.0000 0.3017  4 Sb 2.80
Sb1 0.0000 0.0000 0.7132  4 Be 2.80

=====

## AcBeSb3 (PBE-GGA)

Data for crystalline AcBeSb3 at its relaxed geometry.

Results
total energy: -4.2111 eV per atom
raw formation energy: -0.17 eV/atom
D(E_F): 0.5139 states/eV/atom

Cell: 5.1230 5.1230 5.1230 Å, 90.00 90.00 90.00°
With the nearest neighbours (Å) after each atom.
Space group Pm-3m (No. 221)
Inequivalent atoms, fractional coordinates:
Ac1 0.0000 0.0000 0.0000  12 Sb 3.62
Be1 0.5000 0.5000 0.5000  6 Sb 2.56
Sb1 0.0000 0.5000 0.5000  2 Be 2.56

=====

## AcBeSb (PBE-GGA)

Data for crystalline AcBeSb at its relaxed geometry.

Results
relative energy among the computed polymorphs: 0.0 meV/atom
total energy: -4.5430 eV per atom
raw formation energy: -0.56 eV/atom
D(E_F): 0.1559 states/eV/atom

Cell: 4.2438 4.2438 4.8939 Å, 90.00 90.00 120.00°
With the nearest neighbours (Å) after each atom.
Space group P3m1 (No. 156)
Inequivalent atoms, fractional coordinates:
Ac1 0.0000 0.0000 0.0000  6 Be 3.38-3.55, 6 Sb 3.45-3.48
Be1 0.3333 0.6667 0.5250  3 Sb 2.45
Sb1 0.6667 0.3333 0.4961  3 Be 2.45

=====

## Ac3BeSb (PBE-GGA)

Data for crystalline Ac3BeSb at its relaxed geometry.

Results
total energy: -4.0984 eV per atom
raw formation energy: -0.06 eV/atom
D(E_F): 1.1603 states/eV/atom

Cell: 5.6586 5.6586 5.6586 Å, 90.00 90.00 90.00°
With the nearest neighbours (Å) after each atom.
Space group Pm-3m (No. 221)
Inequivalent atoms, fractional coordinates:
Ac1 0.0000 0.0000 0.5000  2 Be 2.83
Be1 0.0000 0.0000 0.0000  6 Ac 2.83
Sb1 0.5000 0.5000 0.5000  12 Ac 4.00

=====

## AcBeSi (PBE-GGA)

Data for crystalline AcBeSi at its relaxed geometry.

Results
relative energy among the computed polymorphs: 0.0 meV/atom
total energy: -4.8543 eV per atom
raw formation energy: -0.44 eV/atom
D(E_F): 0.6608 states/eV/atom

Cell: 4.0692 4.0692 4.6212 Å, 90.00 90.00 120.00°
With the nearest neighbours (Å) after each atom.
Space group P-6m2 (No. 187)
Inequivalent atoms, fractional coordinates:
Ac1 0.0000 0.0000 0.0000  6 Be 3.30, 6 Si 3.30
Be1 0.3333 0.6667 0.5000  3 Si 2.35
Si1 0.6667 0.3333 0.5000  3 Be 2.35

=====

## Ac2BeSi (PBE-GGA)

Data for crystalline Ac2BeSi at its relaxed geometry.

Results
relative energy among the computed polymorphs: 0.0 meV/atom
total energy: -4.3481 eV per atom
raw formation energy: -0.01 eV/atom
D(E_F): 0.6621 states/eV/atom

Cell: 5.3167 5.3167 3.9157 Å, 90.00 90.00 90.00°
With the nearest neighbours (Å) after each atom.
Space group P4/mmm (No. 123)
Inequivalent atoms, fractional coordinates:
Ac1 0.0000 0.5000 0.0000  4 Be 3.30, 4 Si 3.30
Be1 0.0000 0.0000 0.5000  8 Ac 3.30
Si1 0.5000 0.5000 0.5000  8 Ac 3.30

=====

Q: Which formula does entry 4 have?
A: AcBeSb3